Entry 1:
A geometry-optimized Sr3DySn6 structure. Source: Alexandria, functional PBE.

Energy: -3.9079 eV/atom
Formation energy: -0.54 eV/atom
Calculated volume: 635.4 Å³ per cell

abc: 8.6772 8.6772 8.6772
angles: 97.40 97.40 97.40
Fractional coordinates of all 20 atoms:
Sr 0.1835 0.7500 0.3165
Sr 0.2500 0.6835 0.8165
Sr 0.3165 0.1835 0.7500
Sr 0.6835 0.8165 0.2500
Sr 0.7500 0.3165 0.1835
Sr 0.8165 0.2500 0.6835
Dy 0.0000 0.0000 0.0000
Dy 0.5000 0.5000 0.5000
Sn 0.0095 0.0889 0.3660
Sn 0.0889 0.3660 0.0095
Sn 0.1340 0.4111 0.4905
Sn 0.3660 0.0095 0.0889
Sn 0.4111 0.4905 0.1340
Sn 0.4905 0.1340 0.4111
Sn 0.5095 0.8660 0.5889
Sn 0.5889 0.5095 0.8660
Sn 0.6340 0.9905 0.9111
Sn 0.8660 0.5889 0.5095
Sn 0.9111 0.6340 0.9905
Sn 0.9905 0.9111 0.6340

Entry 2:
A geometry-optimized Sr3DySn12 structure. Source: Alexandria, functional PBE.

Energy: -4.0054 eV/atom
Formation energy: -0.40 eV/atom
Calculated volume: 449.1 Å³ per cell

abc: 4.8149 4.8149 19.3701
angles: 90.00 90.00 90.00
Fractional coordinates of all 16 atoms:
Sr 0.0000 0.0000 0.0000
Sr 0.0000 0.0000 0.2545
Sr 0.0000 0.0000 0.7455
Dy 0.0000 0.0000 0.5000
Sn 0.0000 0.5000 0.1265
Sn 0.0000 0.5000 0.3808
Sn 0.0000 0.5000 0.6192
Sn 0.0000 0.5000 0.8735
Sn 0.5000 0.0000 0.1265
Sn 0.5000 0.0000 0.3808
Sn 0.5000 0.0000 0.6192
Sn 0.5000 0.0000 0.8735
Sn 0.5000 0.5000 0.0000
Sn 0.5000 0.5000 0.2531
Sn 0.5000 0.5000 0.5000
Sn 0.5000 0.5000 0.7469